# CsLiZrS3

An optimized crystal structure of CsLiZrS3 (PBE, OQMD).

CIF file:
```
data_CsLiZrS3
_chemical_formula_sum 'Cs4 Li4 Zr4 S12'
_symmetry_space_group_name_H-M 'C m c m'
_symmetry_Int_Tables_number 63
_symmetry_space_group_name_Hall '-C 2c 2'
_cell_length_a 3.852
_cell_length_b 15.171
_cell_length_c 10.073
_cell_angle_alpha 90.00
_cell_angle_beta 90.00
_cell_angle_gamma 90.00
loop_
_atom_site_label
_atom_site_type_symbol
_atom_site_fract_x
_atom_site_fract_y
_atom_site_fract_z
Cs1 Cs 0.000 0.239 0.250
Li1 Li 0.000 0.039 0.750
Zr1 Zr 0.000 0.500 0.000
S1 S 0.000 0.112 0.544
S2 S 0.000 0.452 0.750
```

Size of the total moment in μB per cell: 0.00
Distance to the lowest polymorph of the same formula in kJ per mole of atoms: 0.3



# Mg4Os3

An optimized crystal structure of Mg4Os3 (PBE, OQMD).

CIF file:
```
data_Mg4Os3
_chemical_formula_sum 'Mg8 Os6'
_symmetry_space_group_name_H-M 'P 1 21/m 1'
_symmetry_Int_Tables_number 11
_symmetry_space_group_name_Hall '-P 2yb'
_cell_length_a 7.616
_cell_length_b 4.615
_cell_length_c 7.616
_cell_angle_alpha 90.00
_cell_angle_beta 119.98
_cell_angle_gamma 90.00
loop_
_atom_site_label
_atom_site_type_symbol
_atom_site_fract_x
_atom_site_fract_y
_atom_site_fract_z
Mg1 Mg 0.049 0.250 0.420
Mg2 Mg 0.129 0.750 0.049
Mg3 Mg 0.167 0.250 0.833
Mg4 Mg 0.420 0.750 0.871
Os1 Os 0.281 0.750 0.466
Os2 Os 0.316 0.250 0.281
Os3 Os 0.465 0.250 0.684
```

Size of the total moment in μB per cell: 1.93
Distance to the lowest polymorph of the same formula in kJ per mole of atoms: 19.2



# PaGe

An optimized crystal structure of PaGe (PBE, OQMD).

CIF file:
```
data_PaGe
_chemical_formula_sum 'Pa1 Ge1'
_symmetry_space_group_name_H-M 'P -6 m 2'
_symmetry_Int_Tables_number 187
_symmetry_space_group_name_Hall 'P -6 2'
_cell_length_a 3.1372
_cell_length_b 3.1372
_cell_length_c 5.0635
_cell_angle_alpha 90.00
_cell_angle_beta 90.00
_cell_angle_gamma 120.00
loop_
_atom_site_label
_atom_site_type_symbol
_atom_site_fract_x
_atom_site_fract_y
_atom_site_fract_z
Pa1 Pa 0.0000 0.0000 0.0000
Ge1 Ge 0.3333 0.6667 0.5000
```

Size of the total moment in μB per cell: 0.02
Total energy in eV per atom: -7.304